PBE CeSm6Ho5, optimized geometry; space-group type = C2/m (12); total DFT energy (no corrections) = -56.68 eV for the cell shown; formation energy from the elements = 0.04 eV per atom; total moment = 1.10 Bohr magnetons per cell
1.0
-1.263 4.869 0.605
-3.727 0.183 -9.391
-4.302 -4.618 7.044
Ho Ce Sm
5 1 6
direct
0.334 0.834 0.668
0.333 0.332 0.665
0.000 0.500 0.000
0.667 0.668 0.335
0.666 0.166 0.332
0.000 0.000 0.000
0.835 0.085 0.670
0.165 0.415 0.330
0.500 0.751 0.000
0.835 0.585 0.670
0.500 0.249 0.000
0.165 0.915 0.330

---

PBE CeSmHo, optimized geometry; space-group type = P2_1/m (11); total DFT energy (no corrections) = -29.87 eV for the cell shown; E above lowest polymorph = 0.0280 eV per atom; formation energy from the elements = 0.10 eV per atom; total moment = 1.63 Bohr magnetons per cell
1.0
5.362 0.006 -0.004
-0.004 3.465 -0.001
0.009 -1.728 10.087
Ho Ce Sm
2 2 2
direct
0.347 0.371 0.168
0.847 0.619 0.655
0.347 0.204 0.829
0.847 0.786 0.995
0.847 0.950 0.325
0.347 0.040 0.499

---

PBE CeSm2Ho3, optimized geometry; space-group type = C2/m (12); total DFT energy (no corrections) = -56.42 eV for the cell shown; E above lowest polymorph = 0.0548 eV per atom; formation energy from the elements = 0.15 eV per atom; total moment = 2.65 Bohr magnetons per cell
1.0
5.613 0.000 1.156
2.341 7.860 2.840
1.027 0.889 9.219
Sm Ho Ce
4 6 2
direct
0.454 0.873 0.220
0.946 0.419 0.689
0.546 0.127 0.780
0.054 0.581 0.311
0.713 0.637 0.937
0.194 0.113 0.499
0.886 0.150 0.078
0.114 0.850 0.922
0.806 0.887 0.501
0.287 0.363 0.063
0.646 0.365 0.344
0.354 0.635 0.656

---

- Which of these has the highest total moment?
  CeSm2Ho3

---

Repeat the second record exactly.
PBE CeSmHo, optimized geometry; space-group type = P2_1/m (11); total DFT energy (no corrections) = -29.87 eV for the cell shown; E above lowest polymorph = 0.0280 eV per atom; formation energy from the elements = 0.10 eV per atom; total moment = 1.63 Bohr magnetons per cell
1.0
5.362 0.006 -0.004
-0.004 3.465 -0.001
0.009 -1.728 10.087
Ho Ce Sm
2 2 2
direct
0.347 0.371 0.168
0.847 0.619 0.655
0.347 0.204 0.829
0.847 0.786 0.995
0.847 0.950 0.325
0.347 0.040 0.499

---

- Look up the formation energy from the elements of the second one.
  0.10 eV per atom

---

Repeat the first record exactly.
PBE CeSm6Ho5, optimized geometry; space-group type = C2/m (12); total DFT energy (no corrections) = -56.68 eV for the cell shown; formation energy from the elements = 0.04 eV per atom; total moment = 1.10 Bohr magnetons per cell
1.0
-1.263 4.869 0.605
-3.727 0.183 -9.391
-4.302 -4.618 7.044
Ho Ce Sm
5 1 6
direct
0.334 0.834 0.668
0.333 0.332 0.665
0.000 0.500 0.000
0.667 0.668 0.335
0.666 0.166 0.332
0.000 0.000 0.000
0.835 0.085 0.670
0.165 0.415 0.330
0.500 0.751 0.000
0.835 0.585 0.670
0.500 0.249 0.000
0.165 0.915 0.330